(1)
Below is a relaxed structure of NdZn2Au10, with properties calculated at the PBE-GGA level.

Lattice parameters (Å, degrees): 9.4722 7.2790 7.2094 81.65 49.49 48.86
Last column: nearest neighbours and their distance in Å.
Element x y z (fractional)
Nd 0.0000 0.0000 0.0000  12 Au 3.21-3.44
Zn 0.0000 0.5000 0.0000  8 Au 2.70-2.77, 2 Zn 2.76
Zn 0.5000 0.0000 0.5000  8 Au 2.70-2.77, 2 Zn 2.76
Au 0.0000 0.0000 0.5000  10 Au 2.76-2.97
Au 0.0118 0.3382 0.6618  2 Zn 2.77, 6 Au 2.97-3.07
Au 0.2829 0.4929 0.5071  2 Zn 2.70, 7 Au 2.80-3.02
Au 0.3382 0.0118 0.9882  2 Zn 2.77, 6 Au 2.97-3.07
Au 0.4929 0.2829 0.7171  2 Zn 2.70, 7 Au 2.80-3.02
Au 0.5000 0.5000 0.0000  10 Au 2.76-2.97
Au 0.5071 0.7171 0.2829  2 Zn 2.70, 7 Au 2.80-3.02
Au 0.6618 0.9882 0.0118  2 Zn 2.77, 6 Au 2.97-3.07
Au 0.7171 0.5071 0.4929  2 Zn 2.70, 7 Au 2.80-3.02
Au 0.9882 0.6618 0.3382  2 Zn 2.77, 6 Au 2.97-3.07

Summary:
Formation enthalpy at 0 K, meV/atom: -271

(2)
Below is a relaxed structure of ScGaSb3, with properties calculated at the PBE-GGA level.

Lattice parameters (Å, degrees): 5.2659 5.2659 5.2659 90.00 90.00 90.00
Last column: nearest neighbours and their distance in Å.
Element x y z (fractional)
Sc 0.0000 0.0000 0.0000  12 Sb 3.72
Ga 0.5000 0.5000 0.5000  6 Sb 2.63
Sb 0.0000 0.5000 0.5000  2 Ga 2.63
Sb 0.5000 0.0000 0.5000  2 Ga 2.63
Sb 0.5000 0.5000 0.0000  2 Ga 2.63

Summary:
Formation energy (no corrections), meV/atom: 413
Energy relative to the lowest polymorph listed for this composition, meV per atom: 228

(3)
Below is a relaxed structure of La6Tc2Cl3F, with properties calculated at the PBE-GGA level.

Lattice parameters (Å, degrees): 9.7170 9.7170 9.0203 111.25 111.25 24.50
Last column: nearest neighbours and their distance in Å.
Element x y z (fractional)
La 0.0096 0.0096 0.2397  1 Tc 2.38
La 0.3218 0.3218 0.4361  3 Tc 2.95-3.15, 3 Cl 3.18-3.22
La 0.3544 0.3544 0.9058  1 F 2.57, 2 Tc 2.86
La 0.6456 0.6456 0.0942  1 F 2.57, 2 Tc 2.86
La 0.6782 0.6782 0.5639  3 Tc 2.95-3.15, 3 Cl 3.18-3.22
La 0.9904 0.9904 0.7603  1 Tc 2.38
Tc 0.1437 0.1437 0.3124  1 La 2.38
Tc 0.8563 0.8563 0.6876  1 La 2.38
Cl 0.1806 0.1806 0.8348  6 La 3.12-3.42
Cl 0.5000 0.5000 0.5000  6 La 3.18-3.22
Cl 0.8194 0.8194 0.1652  6 La 3.12-3.42
F 0.5000 0.5000 0.0000  2 La 2.57

Summary:
Formation energy (no corrections), meV/atom: -1207

(4)
Below is a relaxed structure of Li5MgGa, with properties calculated at the PBE-GGA level.

Lattice parameters (Å, degrees): 5.0092 5.0092 10.4703 90.00 90.00 79.54
Last column: nearest neighbours and their distance in Å.
Element x y z (fractional)
Li 0.0974 0.9026 0.7500  2 Ga 2.69, 4 Li 2.73, 1 Mg 2.73
Li 0.1625 0.4487 0.6011  3 Li 2.66-2.80, 2 Ga 2.74-2.93, 1 Mg 2.95
Li 0.1625 0.4487 0.8989  3 Li 2.66-2.80, 2 Ga 2.74-2.93, 1 Mg 2.95
Li 0.4487 0.1625 0.1011  3 Li 2.66-2.80, 2 Ga 2.74-2.93, 1 Mg 2.95
Li 0.4487 0.1625 0.3989  3 Li 2.66-2.80, 2 Ga 2.74-2.93, 1 Mg 2.95
Li 0.5513 0.8375 0.6011  3 Li 2.66-2.80, 2 Ga 2.74-2.93, 1 Mg 2.95
Li 0.5513 0.8375 0.8989  3 Li 2.66-2.80, 2 Ga 2.74-2.93, 1 Mg 2.95
Li 0.8375 0.5513 0.1011  3 Li 2.66-2.80, 2 Ga 2.74-2.93, 1 Mg 2.95
Li 0.8375 0.5513 0.3989  3 Li 2.66-2.80, 2 Ga 2.74-2.93, 1 Mg 2.95
Li 0.9026 0.0974 0.2500  2 Ga 2.69, 4 Li 2.73, 1 Mg 2.73
Mg 0.3290 0.6710 0.2500  5 Li 2.73-2.95
Mg 0.6710 0.3290 0.7500  5 Li 2.73-2.95
Ga 0.0000 0.0000 0.0000  10 Li 2.69-2.93
Ga 0.0000 0.0000 0.5000  10 Li 2.69-2.93

Summary:
Energy relative to the lowest polymorph listed for this composition, meV per atom: 0
Formation enthalpy at 0 K, meV/atom: -85

Taking the records one at a time from the top gives energy values of -3.36; -3.93; -6.02; -2.11 eV per atom.